No. 1
{"formula": "SrOs", "functional": "PBE", "state": "optimized geometry", "cell": [[0.000, 4.444, 7.504], [2.908, 0.000, 7.504], [2.908, 4.444, 0.000]], "species": ["Sr", "Sr", "Sr", "Sr", "Os", "Os", "Os", "Os"], "frac_coords": [[0.042, 0.708, 0.042], [0.292, 0.958, 0.292], [0.708, 0.042, 0.708], [0.958, 0.292, 0.958], [0.296, 0.296, 0.454], [0.454, 0.454, 0.296], [0.546, 0.546, 0.704], [0.704, 0.704, 0.546]], "m_tot_mub_per_atom": 0.000, "volume_a3_per_atom": 24.241, "delta_e_f_ev_per_atom": 0.67}

***

No. 2
{"formula": "ZnHgS2", "functional": "PBE", "state": "optimized geometry", "cell": [[-3.435, 3.435, 3.318], [3.435, -3.435, 3.318], [3.435, 3.435, -3.318]], "species": ["Zn", "Zn", "Hg", "Hg", "S", "S", "S", "S"], "frac_coords": [[0.250, 0.250, 0.000], [0.750, 0.750, 0.000], [0.250, 0.750, 0.500], [0.750, 0.250, 0.500], [0.205, 0.705, 0.911], [0.295, 0.205, 0.500], [0.705, 0.795, 0.500], [0.795, 0.295, 0.089]], "m_tot_mub_per_atom": 0.000, "volume_a3_per_atom": 19.573, "dft_energy_ha_per_atom": -0.082}

***

No. 3
{"formula": "DyAl8Co4", "functional": "PBE", "state": "optimized geometry", "cell": [[-4.265, 4.265, 2.553], [4.265, -4.265, 2.553], [4.265, 4.265, -2.553]], "species": ["Dy", "Al", "Al", "Al", "Al", "Al", "Al", "Al", "Al", "Co", "Co", "Co", "Co"], "frac_coords": [[0.000, 0.000, 0.000], [0.000, 0.340, 0.340], [0.000, 0.660, 0.660], [0.277, 0.500, 0.777], [0.340, 0.000, 0.340], [0.500, 0.277, 0.777], [0.500, 0.723, 0.223], [0.660, 0.000, 0.660], [0.723, 0.500, 0.223], [0.000, 0.000, 0.500], [0.000, 0.500, 0.000], [0.500, 0.000, 0.000], [0.500, 0.500, 0.500]], "m_tot_mub_per_atom": 0.000, "volume_a3_per_atom": 14.288, "delta_e_f_ev_per_atom": -0.52}

***

No. 4
{"formula": "Sc2ReIr2", "functional": "PBE", "state": "optimized geometry", "cell": [[6.535, 0.000, 0.000], [0.000, 6.535, 0.000], [0.000, 0.000, 4.270]], "species": ["Sc", "Sc", "Sc", "Sc", "Re", "Re", "Ir", "Ir", "Ir", "Ir"], "frac_coords": [[0.177, 0.323, 0.000], [0.323, 0.823, 0.000], [0.677, 0.177, 0.000], [0.823, 0.677, 0.000], [0.000, 0.000, 0.500], [0.500, 0.500, 0.500], [0.139, 0.639, 0.500], [0.361, 0.139, 0.500], [0.639, 0.861, 0.500], [0.861, 0.361, 0.500]], "m_tot_mub_per_atom": 0.000, "relative_energy_ev_per_atom": 0.000, "volume_a3_per_atom": 18.239, "delta_e_f_ev_per_atom": -0.49}

***

No. 5
{"formula": "BRuPb2", "functional": "PBE", "state": "optimized geometry", "cell": [[-3.468, 3.468, 3.341], [3.468, -3.468, 3.341], [3.468, 3.468, -3.341]], "species": ["B", "B", "Ru", "Ru", "Pb", "Pb", "Pb", "Pb"], "frac_coords": [[0.000, 0.000, 0.000], [0.750, 0.250, 0.500], [0.250, 0.750, 0.500], [0.500, 0.500, 0.000], [0.084, 0.625, 0.959], [0.375, 0.334, 0.459], [0.666, 0.125, 0.041], [0.875, 0.916, 0.541]], "m_tot_mub_per_atom": 0.000, "volume_a3_per_atom": 20.099, "delta_e_f_ev_per_atom": 1.18}

***

No. 6
{"formula": "LiLa2In4", "functional": "PBE", "state": "optimized geometry", "cell": [[2.733, -8.920, 0.000], [2.733, 8.920, 0.000], [0.000, 0.000, 4.731]], "species": ["Li", "La", "La", "In", "In", "In", "In"], "frac_coords": [[0.000, 0.000, 0.000], [0.323, 0.677, 0.500], [0.677, 0.323, 0.500], [0.083, 0.917, 0.500], [0.186, 0.814, 0.000], [0.814, 0.186, 0.000], [0.917, 0.083, 0.500]], "m_tot_mub_per_atom": 0.000, "volume_a3_per_atom": 32.951, "delta_e_f_ev_per_atom": -0.14}

***

No. 7
{"formula": "MnBe2Re", "functional": "PBE", "state": "optimized geometry", "cell": [[-1.492, 1.907, 3.683], [1.492, -1.907, 3.683], [1.492, 1.907, -3.683]], "species": ["Mn", "Be", "Be", "Re"], "frac_coords": [[0.000, 0.000, 0.000], [0.529, 0.529, 0.000], [0.743, 0.243, 0.500], [0.268, 0.768, 0.500]], "m_tot_mub_per_atom": 0.000, "relative_energy_ev_per_atom": 0.061, "volume_a3_per_atom": 10.477, "delta_e_f_ev_per_atom": -0.05}